Entry 1:
NiHg2Pb | PBE | relaxed

a = 3.2485 Å, b = 3.2485 Å, c = 8.5975 Å
α = 90.00°, β = 90.00°, γ = 90.01°
Element x y z (fractional)
Hg 0.5000 0.5000 0.3065
Ni 0.0000 0.0000 0.4876
Pb 0.5000 0.5000 0.6871
Hg 0.0000 0.0000 0.0188

Computed properties:
electronic total energy = -9.49 eV/f.u.
SG = No. 99


Entry 2:
Ni2Hg2Pb | PBE | relaxed

a = 7.1392 Å, b = 7.1392 Å, c = 3.6325 Å
α = 90.00°, β = 90.00°, γ = 90.00°
Element x y z (fractional)
Ni 0.8642 0.6358 0.0000
Pb 0.0000 0.0000 0.0000
Pb 0.5000 0.5000 0.0000
Ni 0.6358 0.1358 0.0000
Hg 0.6560 0.8440 0.5000
Hg 0.1560 0.6560 0.5000
Hg 0.3440 0.1560 0.5000
Hg 0.8440 0.3440 0.5000
Ni 0.3642 0.8642 0.0000
Ni 0.1358 0.3642 0.0000

Computed properties:
electronic total energy = -14.83 eV/f.u.
SG = No. 127


Entry 3:
Ni2Hg2Pb | PBE | relaxed

a = 3.4229 Å, b = 3.4229 Å, c = 9.2179 Å
α = 79.30°, β = 79.30°, γ = 90.00°
Element x y z (fractional)
Pb 0.0000 0.0000 0.0000
Ni 0.7500 0.2500 0.5000
Hg 0.3682 0.3682 0.2635
Ni 0.2500 0.7500 0.5000
Hg 0.6318 0.6318 0.7365

Computed properties:
electronic total energy = -14.53 eV/f.u.
SG = No. 139


Entry 4:
Ni2Hg2Pb | PBE | relaxed

a = 4.1823 Å, b = 4.1823 Å, c = 6.4802 Å
α = 71.17°, β = 71.17°, γ = 90.00°
Element x y z (fractional)
Pb 0.0000 0.0000 0.0000
Ni 0.5999 0.5999 0.8002
Ni 0.4001 0.4001 0.1998
Hg 0.7500 0.2500 0.5000
Hg 0.2500 0.7500 0.5000

Computed properties:
electronic total energy = -14.32 eV/f.u.
SG = No. 139


Entry 5:
NiHg2Pb | PBE | relaxed

a = 3.4336 Å, b = 4.1567 Å, c = 6.7824 Å
α = 71.88°, β = 90.00°, γ = 90.00°
Element x y z (fractional)
Ni 0.0000 0.2707 0.5820
Hg 0.0000 0.0605 0.0066
Hg 0.5000 0.4372 0.2517
Pb 0.5000 0.7316 0.6597

Computed properties:
electronic total energy = -9.41 eV/f.u.
SG = No. 6


Entry 6:
NiHg2Pb | PBE | relaxed

a = 5.7121 Å, b = 5.7121 Å, c = 5.7121 Å
α = 136.43°, β = 136.43°, γ = 63.32°
Element x y z (fractional)
Hg 0.5000 0.5000 0.0000
Ni 0.2500 0.7500 0.5000
Hg 0.0000 0.0000 0.0000
Pb 0.7500 0.2500 0.5000

Computed properties:
electronic total energy = -8.72 eV/f.u.
SG = No. 139